1.
A relaxed structure of Ti8Co3Pt2. Source: Alexandria, functional PBE.

It has space group C2/m (No. 12), with a = 12.407 Å, b = 7.403 Å, c = 4.678 Å, α = 90.00°, β = 91.23° and γ = 90.00°. The asymmetric unit holds Ti at (0.074, 0.000, 0.338), Ti at (0.109, 0.225, 0.881), Ti at (0.157, 0.500, 0.401), Co at (0.000, 0.319, 0.500), Co at (0.000, 0.500, 0.000) and Pt at (0.242, 0.500, 0.909).

=====

2.
A relaxed structure of CePd12Pt7. Source: Alexandria, functional PBE.

It has space group Im-3 (No. 204), with a = 9.444 Å, b = 9.444 Å, c = 9.444 Å, α = 90.00°, β = 90.00° and γ = 90.00°. The asymmetric unit holds Ce at (0.000, 0.000, 0.000), Pd at (0.000, 0.270, 0.146), Pt at (0.000, 0.000, 0.500) and Pt at (0.250, 0.250, 0.250).

=====

3.
A relaxed structure of AcMg2ZnAu4. Source: Alexandria, functional PBE.

It has space group R-3m (No. 166, hexagonal axes), with a = 4.5959 Å, b = 4.5959 Å, c = 28.0678 Å, α = 90.00°, β = 90.00° and γ = 120.00°. The asymmetric unit holds Ac at (0.0000, 0.0000, 0.0000), Mg at (0.0000, 0.0000, 0.2331), Zn at (0.0000, 0.0000, 0.5000), Au at (0.0000, 0.0000, 0.1314) and Au at (0.0000, 0.0000, 0.4015).

=====

4.
A relaxed structure of LaGdAlAg. Source: Alexandria, functional PBE.

It has space group F-43m (No. 216), with a = 7.509 Å, b = 7.509 Å, c = 7.509 Å, α = 90.00°, β = 90.00° and γ = 90.00°. The asymmetric unit holds La at (0.000, 0.000, 0.000), Gd at (0.000, 0.000, 0.500), Al at (0.250, 0.250, 0.750) and Ag at (0.250, 0.250, 0.250).

=====

5.
A relaxed structure of Pm2CoAs4Ir3. Source: Alexandria, functional PBE.

It has space group P-4m2 (No. 115), with a = 4.290 Å, b = 4.290 Å, c = 9.924 Å, α = 90.00°, β = 90.00° and γ = 90.00°. The asymmetric unit holds Pm at (0.000, 0.500, 0.249), Co at (0.500, 0.500, 0.000), As at (0.000, 0.000, 0.500), As at (0.000, 0.500, 0.871), As at (0.500, 0.500, 0.500), Ir at (0.000, 0.000, 0.000) and Ir at (0.000, 0.500, 0.624).

=====

6.
A relaxed structure of Pm12Nd2In. Source: Alexandria, functional PBE.

It has space group P4/nbm (No. 125, origin choice 2), with a = 6.729 Å, b = 6.729 Å, c = 23.744 Å, α = 90.00°, β = 90.00° and γ = 90.00°. The asymmetric unit holds Pm at (0.004, 0.504, 0.092), Pm at (0.084, 0.584, 0.565), Pm at (0.250, 0.250, 0.199), Pm at (0.250, 0.250, 0.329), Nd at (0.250, 0.750, 0.248) and In at (0.250, 0.750, 0.000).

=====

7.
A relaxed structure of Ac3Cd2InPd9. Source: Alexandria, functional PBE.

It has space group P-3m1 (No. 164), with a = 6.8642 Å, b = 6.8642 Å, c = 9.5938 Å, α = 90.00°, β = 90.00° and γ = 120.00°. The asymmetric unit holds Ac at (0.0000, 0.0000, 0.0000), Ac at (0.3333, 0.6667, 0.7412), Cd at (0.3333, 0.6667, 0.1868), In at (0.0000, 0.0000, 0.5000), Pd at (0.0000, 0.5000, 0.0000) and Pd at (0.1308, 0.2617, 0.2725).

=====

8.
A relaxed structure of Pm12NdHo6. Source: Alexandria, functional PBE.

It has space group R-3m (No. 166, hexagonal axes), with a = 13.4129 Å, b = 13.4129 Å, c = 12.6695 Å, α = 90.00°, β = 90.00° and γ = 120.00°. The asymmetric unit holds Pm at (0.0000, 0.2585, 0.0000), Pm at (0.0907, 0.1815, 0.7637), Nd at (0.0000, 0.0000, 0.5000) and Ho at (0.0417, 0.5209, 0.1199).

=====

9.
A relaxed structure of U6C3SN2. Source: Alexandria, functional PBE.

It has space group C2/m (No. 12), with a = 15.384 Å, b = 3.569 Å, c = 7.070 Å, α = 90.00°, β = 102.34° and γ = 90.00°. The asymmetric unit holds U at (0.003, 0.000, 0.272), U at (0.168, 0.500, 0.580), U at (0.175, 0.500, 0.090), C at (0.000, 0.500, 0.500), C at (0.164, 0.000, 0.827), S at (0.000, 0.500, 0.000) and N at (0.170, 0.000, 0.336).

=====

10.
A relaxed structure of Zr2Cu2Tc. Source: Alexandria, functional PBE.

It has space group P4/mbm (No. 127), with a = 6.853 Å, b = 6.853 Å, c = 3.595 Å, α = 90.00°, β = 90.00° and γ = 90.00°. The asymmetric unit holds Zr at (0.185, 0.315, 0.000), Cu at (0.121, 0.621, 0.500) and Tc at (0.000, 0.000, 0.500).

=====

11.
A relaxed structure of Pr3BeGa2Ru3. Source: Alexandria, functional PBE.

It has space group P-62m (No. 189), with a = 7.2755 Å, b = 7.2755 Å, c = 3.9076 Å, α = 90.00°, β = 90.00° and γ = 120.00°. The asymmetric unit holds Pr at (0.0000, 0.3706, 0.0000), Be at (0.0000, 0.0000, 0.0000), Ga at (0.3333, 0.6667, 0.5000) and Ru at (0.0000, 0.7734, 0.5000).

=====

12.
A relaxed structure of ZrV2Ga. Source: Alexandria, functional PBE.

It has space group I-42d (No. 122), with a = 7.258 Å, b = 7.258 Å, c = 5.290 Å, α = 90.00°, β = 90.00° and γ = 90.00°. The asymmetric unit holds Zr at (0.000, 0.000, 0.000), V at (0.221, 0.250, 0.625) and Ga at (0.000, 0.000, 0.500).

=====

In the order shown, the computed electronic total energy values come out to -7.68 -5.04 -3.29 -6.71 -6.90 -4.41 -4.61 -4.50 -10.35 -7.16 -6.00 -7.03 eV per atom.
In the order shown, the computed Fermi-level density of states values come out to 0.877 1.453 0.507 1.121 0.473 1.255 0.715 1.956 2.375 1.088 0.810 1.225 states/eV/atom.